Entry 1:
Here is InCo4P at its PBEsol-relaxed geometry from Alexandria. Energies are from meta-GGA SCAN.

a = 4.7561 Å, b = 4.7561 Å, c = 4.7561 Å
α = 60.00°, β = 60.00°, γ = 60.00°
Each line ends with the local moment (μB).
Positions (direct):
1 Co 0.3744 0.3744 0.3744  1.81
2 Co 0.3744 0.3744 0.8767  1.81
3 Co 0.8767 0.3744 0.3744  1.81
4 Co 0.3744 0.8767 0.3744  1.81
5 In 0.7500 0.7500 0.7500  -0.11
6 P 0.0000 0.0000 0.0000  0.07

**Crystal system**: cubic
**Formation enthalpy at 0 K**: 0.38 eV per atom
**Spin magnetization**: 7.11 μB per cell
**V**: 12.68 A^3/atom

---

Entry 2:
Here is CaTbRh2 at its PBEsol-relaxed geometry from Alexandria. Energies are from meta-GGA SCAN.

a = 4.7466 Å, b = 4.7466 Å, c = 4.7466 Å
α = 60.00°, β = 60.00°, γ = 60.00°
Positions (direct):
1 Tb 0.5000 0.5000 0.5000
2 Ca 0.0000 0.0000 0.0000
3 Rh 0.2500 0.2500 0.2500
4 Rh 0.7500 0.7500 0.7500

**Crystal system**: cubic
**Formation enthalpy at 0 K**: -0.67 eV per atom
**Spin magnetization**: 0.00 μB per cell
**V**: 18.91 A^3/atom

---

Entry 3:
Here is ZrCo2ReS at its PBEsol-relaxed geometry from Alexandria. Energies are from meta-GGA SCAN.

a = 4.3098 Å, b = 4.3098 Å, c = 5.1336 Å
α = 90.00°, β = 90.00°, γ = 90.00°
Each line ends with the local moment (μB).
Positions (direct):
1 Re 0.0000 0.0000 0.0000  0.03
2 S 0.5000 0.5000 0.5000  0.16
3 Co 0.0000 0.5000 0.0000  1.44
4 Co 0.5000 0.0000 0.0000  1.44
5 Zr 0.0000 0.0000 0.5000  0.05

**DFT total energy**: -28.09 eV/atom
**Crystal system**: tetragonal
**Spin magnetization**: 3.32 μB per cell
**V**: 19.07 A^3/atom

---

Entry 4:
Here is MnCr2As at its PBEsol-relaxed geometry from Alexandria. Energies are from meta-GGA SCAN.

a = 3.4565 Å, b = 3.4565 Å, c = 4.5846 Å
α = 112.15°, β = 112.15°, γ = 90.00°
Each line ends with the local moment (μB).
Positions (direct):
1 As 0.0000 0.0000 0.0000  -0.02
2 Cr 0.7500 0.2500 0.5000  -0.74
3 Cr 0.2500 0.7500 0.5000  -0.74
4 Mn 0.5000 0.5000 0.0000  2.49

**Crystal system**: tetragonal
**Formation enthalpy at 0 K**: -0.04 eV per atom
**Spin magnetization**: 1.00 μB per cell
**V**: 11.59 A^3/atom